Model w:
P2PbBrO: relaxed, PBE.

Results
mass density = 6.0 g/cm³
space-group type = P4/mmm, No. 123

a b c (Å): 5.0023 5.0023 4.0504
angles (deg): 90.00 90.00 90.00
Last column: nearest neighbours and their distance in Å.
Atoms (fractional coordinates):
Pb: 0.5000 0.5000 0.5000  8 P 3.22, 4 O 3.54
P: 0.0000 0.5000 0.0000  2 Br 2.50
P: 0.5000 0.0000 0.0000  2 Br 2.50
O: 0.0000 0.0000 0.5000  2 Br 2.03
Br: 0.0000 0.0000 0.0000  2 O 2.03


Model x:
P2PbBrO: relaxed, PBE.

Results
mass density = 4.9 g/cm³
space-group type = P4/mmm, No. 123

a b c (Å): 5.4146 5.4146 4.2149
angles (deg): 90.00 90.00 90.00
Last column: nearest neighbours and their distance in Å.
Atoms (fractional coordinates):
Pb: 0.0000 0.0000 0.0000  2 O 2.11
P: 0.0000 0.5000 0.0000  2 Pb 2.71
P: 0.5000 0.0000 0.0000  2 Pb 2.71
O: 0.0000 0.0000 0.5000  2 Pb 2.11
Br: 0.5000 0.5000 0.5000  8 P 3.43, 4 O 3.83


Which structure wins on stability? model w wins.


Model w:
P2PdBrO: relaxed, PBE.

Results
mass density = 4.8 g/cm³
space-group type = P4/mmm, No. 123

a b c (Å): 4.8296 4.8296 3.9198
angles (deg): 90.00 90.00 90.00
Last column: nearest neighbours and their distance in Å.
Atoms (fractional coordinates):
O: 0.0000 0.0000 0.5000  2 Pd 1.96
P: 0.0000 0.5000 0.0000  2 Pd 2.41
P: 0.5000 0.0000 0.0000  2 Pd 2.41
Br: 0.5000 0.5000 0.5000  8 P 3.11, 4 O 3.42
Pd: 0.0000 0.0000 0.0000  2 O 1.96


Model x:
P2PdBrO: relaxed, PBE.

Results
mass density = 5.1 g/cm³
space-group type = P4/mmm, No. 123

a b c (Å): 4.9233 4.9233 3.5826
angles (deg): 90.00 90.00 90.00
Last column: nearest neighbours and their distance in Å.
Atoms (fractional coordinates):
O: 0.0000 0.0000 0.5000  2 Br 1.79
P: 0.0000 0.5000 0.0000  2 Br 2.46
P: 0.5000 0.0000 0.0000  2 Br 2.46
Br: 0.0000 0.0000 0.0000  2 O 1.79
Pd: 0.5000 0.5000 0.5000  8 P 3.04


Which structure wins on stability? model w wins.


Model w:
PPtBrO2: relaxed, PBE.

Results
mass density = 7.0 g/cm³
space-group type = P4/mmm, No. 123

a b c (Å): 3.8799 3.8799 5.3179
angles (deg): 90.00 90.00 90.00
Last column: nearest neighbours and their distance in Å.
Atoms (fractional coordinates):
O: 0.0000 0.5000 0.0000  2 Pt 1.94
O: 0.5000 0.0000 0.0000  2 Pt 1.94
P: 0.0000 0.0000 0.5000  2 Pt 2.66, 4 Br 2.74
Br: 0.5000 0.5000 0.5000  4 P 2.74
Pt: 0.0000 0.0000 0.0000  4 O 1.94


Model x:
PPtBrO2: relaxed, PBE.

Results
mass density = 7.0 g/cm³
space-group type = P4/mmm, No. 123

a b c (Å): 3.6498 3.6498 5.9992
angles (deg): 90.00 90.00 90.00
Last column: nearest neighbours and their distance in Å.
Atoms (fractional coordinates):
O: 0.0000 0.5000 0.0000  2 Br 1.82
O: 0.5000 0.0000 0.0000  2 Br 1.82
P: 0.0000 0.0000 0.5000  4 Pt 2.58
Br: 0.0000 0.0000 0.0000  4 O 1.82
Pt: 0.5000 0.5000 0.5000  4 P 2.58


Which structure wins on stability? model w wins.


Model w:
RbPBrO2: relaxed, PBE.

Results
mass density = 2.4 g/cm³
space-group type = P4/mmm, No. 123

a b c (Å): 4.4261 4.4261 8.0103
angles (deg): 90.00 90.00 90.00
Last column: nearest neighbours and their distance in Å.
Atoms (fractional coordinates):
O: 0.0000 0.5000 0.0000  2 Rb 2.21
O: 0.5000 0.0000 0.0000  2 Rb 2.21
P: 0.0000 0.0000 0.5000  4 Br 3.13
Br: 0.5000 0.5000 0.5000  4 P 3.13
Rb: 0.0000 0.0000 0.0000  4 O 2.21


Model x:
RbPBrO2: relaxed, PBE.

Results
mass density = 4.0 g/cm³
space-group type = P4/mmm, No. 123

a b c (Å): 4.4590 4.4590 4.7969
angles (deg): 90.00 90.00 90.00
Last column: nearest neighbours and their distance in Å.
Atoms (fractional coordinates):
O: 0.0000 0.5000 0.0000  2 Br 2.23
O: 0.5000 0.0000 0.0000  2 Br 2.23
P: 0.0000 0.0000 0.5000  2 Br 2.40
Br: 0.0000 0.0000 0.0000  4 O 2.23, 2 P 2.40
Rb: 0.5000 0.5000 0.5000  4 P 3.15, 8 O 3.27


Which structure wins on stability? model x wins.


Model w:
PRhBrO2: relaxed, PBE.

Results
mass density = 5.3 g/cm³
space-group type = P4/mmm, No. 123

a b c (Å): 3.7981 3.7981 5.3283
angles (deg): 90.00 90.00 90.00
Last column: nearest neighbours and their distance in Å.
Atoms (fractional coordinates):
P: 0.0000 0.0000 0.5000  2 Rh 2.66, 4 Br 2.69
Rh: 0.0000 0.0000 0.0000  4 O 1.90
O: 0.0000 0.5000 0.0000  2 Rh 1.90
O: 0.5000 0.0000 0.0000  2 Rh 1.90
Br: 0.5000 0.5000 0.5000  4 P 2.69


Model x:
PRhBrO2: relaxed, PBE.

Results
mass density = 5.4 g/cm³
space-group type = P4/mmm, No. 123

a b c (Å): 3.6734 3.6734 5.6078
angles (deg): 90.00 90.00 90.00
Last column: nearest neighbours and their distance in Å.
Atoms (fractional coordinates):
P: 0.0000 0.0000 0.5000  4 Rh 2.60, 2 Br 2.80
Rh: 0.5000 0.5000 0.5000  4 P 2.60
O: 0.0000 0.5000 0.0000  2 Br 1.84
O: 0.5000 0.0000 0.0000  2 Br 1.84
Br: 0.0000 0.0000 0.0000  4 O 1.84


Which structure wins on stability? model w wins.


Model w:
PRuBrO2: relaxed, PBE.

Results
mass density = 5.4 g/cm³
space-group type = P4/mmm, No. 123

a b c (Å): 3.7758 3.7758 5.3098
angles (deg): 90.00 90.00 90.00
Last column: nearest neighbours and their distance in Å.
Atoms (fractional coordinates):
Ru: 0.0000 0.0000 0.0000  4 O 1.89
O: 0.0000 0.5000 0.0000  2 Ru 1.89
O: 0.5000 0.0000 0.0000  2 Ru 1.89
Br: 0.5000 0.5000 0.5000  4 P 2.67
P: 0.0000 0.0000 0.5000  2 Ru 2.65, 4 Br 2.67


Model x:
PRuBrO2: relaxed, PBE.

Results
mass density = 5.2 g/cm³
space-group type = P4/mmm, No. 123

a b c (Å): 3.6693 3.6693 5.8364
angles (deg): 90.00 90.00 90.00
Last column: nearest neighbours and their distance in Å.
Atoms (fractional coordinates):
Ru: 0.5000 0.5000 0.5000  4 P 2.59
O: 0.0000 0.5000 0.0000  2 Br 1.83
O: 0.5000 0.0000 0.0000  2 Br 1.83
Br: 0.0000 0.0000 0.0000  4 O 1.83
P: 0.0000 0.0000 0.5000  4 Ru 2.59


Which structure wins on stability? model w wins.


Model w:
ScPBrO2: relaxed, PBE.

Results
mass density = 3.3 g/cm³
space-group type = P4/mmm, No. 123

a b c (Å): 3.9727 3.9727 5.9934
angles (deg): 90.00 90.00 90.00
Last column: nearest neighbours and their distance in Å.
Atoms (fractional coordinates):
Sc: 0.0000 0.0000 0.0000  4 O 1.99
P: 0.0000 0.0000 0.5000  4 Br 2.81, 2 Sc 3.00
O: 0.0000 0.5000 0.0000  2 Sc 1.99
O: 0.5000 0.0000 0.0000  2 Sc 1.99
Br: 0.5000 0.5000 0.5000  4 P 2.81


Model x:
ScPBrO2: relaxed, PBE.

Results
mass density = 3.9 g/cm³
space-group type = P4/mmm, No. 123

a b c (Å): 3.9345 3.9345 5.1231
angles (deg): 90.00 90.00 90.00
Last column: nearest neighbours and their distance in Å.
Atoms (fractional coordinates):
Sc: 0.5000 0.5000 0.5000  4 P 2.78
P: 0.0000 0.0000 0.5000  2 Br 2.56, 4 Sc 2.78
O: 0.0000 0.5000 0.0000  2 Br 1.97
O: 0.5000 0.0000 0.0000  2 Br 1.97
Br: 0.0000 0.0000 0.0000  4 O 1.97


Which structure wins on stability? model w wins.


Model w:
PSe2BrO: relaxed, PBE.

Results
mass density = 4.2 g/cm³
space-group type = P4/mmm, No. 123

a b c (Å): 4.8268 4.8268 4.8499
angles (deg): 90.00 90.00 90.00
Last column: nearest neighbours and their distance in Å.
Atoms (fractional coordinates):
O: 0.5000 0.5000 0.5000  4 Br 3.41, 8 Se 3.42
P: 0.0000 0.0000 0.0000  4 Se 2.41, 2 Br 2.42
Se: 0.0000 0.5000 0.0000  2 P 2.41
Se: 0.5000 0.0000 0.0000  2 P 2.41
Br: 0.0000 0.0000 0.5000  2 P 2.42


Model x:
PSe2BrO: relaxed, PBE.

Results
mass density = 4.6 g/cm³
space-group type = P4/mmm, No. 123

a b c (Å): 4.1001 4.1001 6.1444
angles (deg): 90.00 90.00 90.00
Last column: nearest neighbours and their distance in Å.
Atoms (fractional coordinates):
O: 0.0000 0.0000 0.0000  4 Se 2.05
P: 0.5000 0.5000 0.5000  4 Br 2.90
Se: 0.0000 0.5000 0.0000  2 O 2.05
Se: 0.5000 0.0000 0.0000  2 O 2.05
Br: 0.0000 0.0000 0.5000  4 P 2.90, 2 O 3.07


Which structure wins on stability? model x wins.